Computed, not measured: a relaxed structure of La2MgPa at the PBE level of DFT.

Summary:
For the distance to the lowest polymorph of the same formula, the calculation gives 97 meV/atom.

Lattice parameters (Å, degrees): 3.421 5.869 5.869 90.00 90.00 90.00
Site moments in Bohr magnetons follow the coordinates.
Element x y z (fractional)
Mg (0.500, 0.000, 0.000)  0.00
Pa (0.500, 0.500, 0.500)  0.42
La (0.000, 0.000, 0.500)  0.04
La (0.000, 0.500, 0.000)  0.04


Computed, not measured: a relaxed structure of Rb2US2Cl4 at the PBE level of DFT.

Summary:
For the total energy, the calculation gives -43.0 eV per cell.

Lattice parameters (Å, degrees): 6.188 7.331 7.331 60.51 91.81 91.81
Element x y z (fractional)
Rb (0.247, 0.665, 0.665)
Rb (0.753, 0.335, 0.335)
U (0.500, 0.000, 0.000)
S (0.291, 0.153, 0.153)
S (0.709, 0.847, 0.847)
Cl (0.257, 0.661, 0.168)
Cl (0.743, 0.832, 0.339)
Cl (0.743, 0.339, 0.832)
Cl (0.257, 0.168, 0.661)


Computed, not measured: a relaxed structure of MgAg2Hg2 at the PBE level of DFT.

Summary:
For the distance to the lowest polymorph of the same formula, the calculation gives 101 meV/atom.

Lattice parameters (Å, degrees): 7.805 7.805 3.498 90.00 90.00 90.00
Element x y z (fractional)
Mg (0.000, 0.000, 0.000)
Mg (0.500, 0.500, 0.000)
Hg (0.360, 0.860, 0.000)
Hg (0.860, 0.640, 0.000)
Hg (0.640, 0.140, 0.000)
Hg (0.140, 0.360, 0.000)
Ag (0.161, 0.661, 0.500)
Ag (0.661, 0.839, 0.500)
Ag (0.839, 0.339, 0.500)
Ag (0.339, 0.161, 0.500)


Computed, not measured: a relaxed structure of AcGdGaHg at the PBE level of DFT.

Summary:
For the total energy, the calculation gives -23.4 eV per cell.

Lattice parameters (Å, degrees): 5.459 5.459 5.459 60.00 60.00 60.00
Site moments in Bohr magnetons follow the coordinates.
Element x y z (fractional)
Ac (0.500, 0.500, 0.500)  -0.12
Gd (0.000, 0.000, 0.000)  -7.23
Hg (0.750, 0.750, 0.750)  -0.04
Ga (0.250, 0.250, 0.250)  0.01